## NaCaPmAl (PBE)

Data for a relaxed structure of NaCaPmAl.

Lattice parameters (Å, degrees): 7.7131 7.7131 7.7131 90.00 90.00 90.00
Sites, in units of the cell vectors:
Na  0.0000  0.0000  0.0000
Na  0.0000  0.5000  0.5000
Na  0.5000  0.0000  0.5000
Na  0.5000  0.5000  0.0000
Ca  0.2500  0.2500  0.2500
Ca  0.2500  0.7500  0.7500
Ca  0.7500  0.2500  0.7500
Ca  0.7500  0.7500  0.2500
Pm  0.2500  0.2500  0.7500
Pm  0.2500  0.7500  0.2500
Pm  0.7500  0.2500  0.2500
Pm  0.7500  0.7500  0.7500
Al  0.0000  0.0000  0.5000
Al  0.0000  0.5000  0.0000
Al  0.5000  0.0000  0.0000
Al  0.5000  0.5000  0.5000

Energy relative to the elements, eV per atom: -0.051
Symmetry: No. 216
M_tot, μB/f.u.: 0.00
Crystal system: cubic